{"formula": "MoPW2", "functional": "GGA-PBE", "state": "relaxed", "magnetic_moment_mub_per_atom": 0.0000, "space_group": "No. 216", "e_tot_ev_per_atom": -10.2531, "e_form_kj_per_mol_fu": 109, "n_ef_per_ev_fu": 2.5, "cell": [[0.8102, -4.1163, 1.3085], [-3.2529, -2.9531, 0.1038], [-0.0769, -3.2876, -2.9152]], "species": ["Mo", "P", "W", "W"], "fractional_positions": [[0.5000, 0.5000, 0.5000], [0.7500, 0.7500, 0.7500], [0.0000, 0.0000, 0.0000], [0.2500, 0.2500, 0.2500]]}